Model A:
Here is crystalline ZrNiAs2Se at its relaxed geometry from Alexandria. Energies are from PBE.

POSCAR file:
```
ZrNiAs2Se
1.0
-1.505 3.286 -2.735
0.155 -2.855 -3.517
-4.539 -1.340 0.888
As Se Ni Zr
2 1 1 1
Direct
0.500 0.000 0.000
0.000 0.500 0.000
0.000 0.000 0.500
0.000 0.000 0.000
0.500 0.500 0.500
```

Its density of states at the Fermi level is 3.793 states/eV/cell.

---

Model B:
Here is crystalline ZrNiAs2Se at its relaxed geometry from Alexandria. Energies are from PBE.

POSCAR file:
```
ZrNiAs2Se
1.0
-0.678 3.252 3.979
-5.125 -0.132 -0.766
-0.375 -3.989 3.197
Se As Zr Ni
1 2 1 1
Direct
0.000 0.000 0.500
0.000 0.500 0.000
0.500 0.000 0.000
0.000 0.000 0.000
0.500 0.500 0.500
```

Its density of states at the Fermi level is 9.399 states/eV/cell.

---

Need the numbers? Relative energies in eV/atom: model A 0.000; model B 0.525.

---

Model A:
Here is crystalline SiNi8As2 at its relaxed geometry from Alexandria. Energies are from PBE.

POSCAR file:
```
SiNi8As2
1.0
-1.183 -2.788 -2.291
1.445 -3.929 4.034
-5.450 3.568 1.619
Ni As Si
8 2 1
Direct
0.589 0.443 0.179
0.818 0.733 0.636
0.331 0.065 0.662
0.182 0.267 0.364
0.972 0.199 0.944
0.411 0.557 0.821
0.028 0.801 0.056
0.669 0.935 0.338
0.821 0.328 0.642
0.179 0.672 0.358
0.500 0.000 0.000
```

Its density of states at the Fermi level is 6.908 states/eV/cell.

---

Model B:
Here is crystalline SiNi8As2 at its relaxed geometry from Alexandria. Energies are from PBE.

POSCAR file:
```
SiNi8As2
1.0
-0.873 -3.421 -0.954
5.101 -0.149 -4.131
1.037 -0.124 6.503
As Ni Si
2 8 1
Direct
0.180 0.680 0.361
0.820 0.320 0.639
0.138 0.138 0.276
0.337 0.571 0.673
0.000 0.702 0.000
0.862 0.862 0.724
0.663 0.898 0.327
0.337 0.102 0.673
0.663 0.429 0.327
0.000 0.298 0.000
0.500 0.000 0.000
```

Its density of states at the Fermi level is 6.529 states/eV/cell.

---

Need the numbers? Relative energies in eV/atom: model A 0.000; model B 0.015.

---

Model A:
Here is crystalline Ni3Sn2As2 at its relaxed geometry from Alexandria. Energies are from PBE.

POSCAR file:
```
Ni3Sn2As2
1.0
-0.915 -3.685 -0.677
3.735 1.755 -3.736
4.397 -1.897 4.344
As Ni Sn
2 3 2
Direct
0.367 0.734 0.048
0.633 0.266 0.952
0.195 0.390 0.770
0.805 0.610 0.230
0.000 0.000 0.000
0.148 0.294 0.365
0.852 0.706 0.635
```

Its density of states at the Fermi level is 3.414 states/eV/cell.

---

Model B:
Here is crystalline Ni3Sn2As2 at its relaxed geometry from Alexandria. Energies are from PBE.

POSCAR file:
```
Ni3Sn2As2
1.0
-4.435 2.809 -2.125
-5.360 -1.746 0.542
-3.846 2.655 3.199
Ni Sn As
3 2 2
Direct
0.000 0.500 0.000
0.500 0.000 0.000
0.000 0.000 0.500
0.500 0.500 0.500
0.000 0.000 0.000
0.709 0.709 0.709
0.291 0.291 0.291
```

Its density of states at the Fermi level is 4.721 states/eV/cell.

---

Need the numbers? Relative energies in eV/atom: model A 0.068; model B 0.000.

---

Model A:
Here is crystalline NiSn3As at its relaxed geometry from Alexandria. Energies are from PBE.

POSCAR file:
```
NiSn3As
1.0
-0.906 1.761 6.357
6.312 -2.083 0.379
-0.132 4.443 -5.227
Sn As Ni
6 2 2
Direct
0.178 0.993 0.768
0.225 0.410 0.232
0.741 0.457 0.199
0.259 0.543 0.801
0.775 0.590 0.768
0.822 0.007 0.232
0.296 0.953 0.249
0.704 0.047 0.751
0.389 0.232 0.621
0.611 0.768 0.379
```

Its density of states at the Fermi level is 3.301 states/eV/cell.

---

Model B:
Here is crystalline NiSn3As at its relaxed geometry from Alexandria. Energies are from PBE.

POSCAR file:
```
NiSn3As
1.0
-4.008 1.659 2.392
-2.604 -3.862 -1.686
1.300 -2.622 3.997
As Sn Ni
1 3 1
Direct
0.500 0.500 0.500
0.500 0.000 0.000
0.000 0.500 0.000
0.000 0.000 0.500
0.000 0.000 0.000
```

Its density of states at the Fermi level is 2.030 states/eV/cell.

---

Need the numbers? Relative energies in eV/atom: model A 0.000; model B 0.132.

---

Model A:
Here is crystalline Sr2NiTeAs at its relaxed geometry from Alexandria. Energies are from PBE.

POSCAR file:
```
Sr2NiTeAs
1.0
5.842 0.000 0.000
0.000 4.524 0.000
0.000 0.000 5.842
Ni Sr Te As
1 2 1 1
Direct
0.000 0.000 0.000
0.500 0.000 0.000
0.000 0.000 0.500
0.000 0.500 0.000
0.500 0.500 0.500
```

Its density of states at the Fermi level is 5.362 states/eV/cell.

---

Model B:
Here is crystalline Sr2NiTeAs at its relaxed geometry from Alexandria. Energies are from PBE.

POSCAR file:
```
Sr2NiTeAs
1.0
-3.087 2.701 -4.243
2.150 -3.792 -3.978
-3.302 -2.634 0.726
Sr Te Ni As
2 1 1 1
Direct
0.000 0.500 0.000
0.500 0.000 0.000
0.500 0.500 0.500
0.000 0.000 0.000
0.000 0.000 0.500
```

Its density of states at the Fermi level is 2.290 states/eV/cell.

---

Need the numbers? Relative energies in eV/atom: model A 0.401; model B 0.000.

---

Model A:
Here is crystalline TaNi3As at its relaxed geometry from Alexandria. Energies are from PBE.

POSCAR file:
```
TaNi3As
1.0
4.545 0.000 0.000
0.000 4.545 0.000
0.000 0.000 4.545
Ni Ta As
3 1 1
Direct
0.000 0.500 0.000
0.000 0.000 0.500
0.500 0.000 0.000
0.000 0.000 0.000
0.500 0.500 0.500
```

Its density of states at the Fermi level is 5.170 states/eV/cell.

---

Model B:
Here is crystalline TaNi3As at its relaxed geometry from Alexandria. Energies are from PBE.

POSCAR file:
```
TaNi3As
1.0
-1.530 -3.766 1.246
3.938 -1.605 -0.014
0.482 1.148 4.065
Ni Ta As
3 1 1
Direct
0.000 0.500 0.000
0.500 0.000 0.000
0.000 0.000 0.500
0.500 0.500 0.500
0.000 0.000 0.000
```

Its density of states at the Fermi level is 6.085 states/eV/cell.

---

Need the numbers? Relative energies in eV/atom: model A 0.727; model B 0.000.